Entry 1:
Compound: TaPd2F
Source: Alexandria
Functional: PBE
Structure: optimized geometry

POSCAR file:
```
TaPd2F
1.0
0.000 3.120 3.120
3.120 0.000 3.120
3.120 3.120 0.000
F Pd Ta
1 2 1
Direct
0.000 0.000 0.000
0.250 0.250 0.250
0.750 0.750 0.750
0.500 0.500 0.500
```

Calculated values
size of the total moment: 0.000 Bohr magnetons per cell
mass density: 11.28 g/cm3
ΔE_f (raw): -248 meV per atom

=====

Entry 2:
Compound: In3Ag2
Source: Alexandria
Functional: PBE
Structure: optimized geometry

POSCAR file:
```
In3Ag2
1.0
-2.564 1.025 1.680
3.605 -4.995 5.441
4.832 6.920 3.153
In Ag
6 4
Direct
0.442 0.884 0.250
0.558 0.116 0.750
0.343 0.685 0.550
0.657 0.315 0.450
0.657 0.315 0.050
0.343 0.685 0.950
0.000 0.000 0.500
0.000 0.000 0.000
0.261 0.522 0.250
0.739 0.478 0.750
```

Calculated values
size of the total moment: 0.000 Bohr magnetons per cell
mass density: 7.93 g/cm3
formation enthalpy at 0 K: 0.04 eV per atom

=====

Entry 3:
Compound: Ca2AlMo
Source: Alexandria
Functional: PBE
Structure: optimized geometry

POSCAR file:
```
Ca2AlMo
1.0
-5.203 -0.086 -2.375
-3.955 -3.168 2.653
3.781 4.013 1.520
Mo Ca Al
1 2 1
Direct
0.750 0.250 0.500
0.000 0.000 0.000
0.500 0.500 0.000
0.250 0.750 0.500
```

Calculated values
size of the total moment: 0.000 Bohr magnetons per cell
mass density: 3.82 g/cm3
formation enthalpy at 0 K: 0.49 eV per atom

=====

Entry 4:
Compound: MnBeHg2
Source: Alexandria
Functional: PBE
Structure: optimized geometry

POSCAR file:
```
MnBeHg2
1.0
-2.613 -0.660 1.139
1.026 -2.607 0.844
2.214 3.096 6.877
Be Mn Hg
1 1 2
Direct
0.500 0.500 0.711
0.000 0.000 0.554
0.000 0.000 0.947
0.500 0.500 0.289
```

Calculated values
size of the total moment: 3.011 Bohr magnetons per cell
mass density: 11.48 g/cm3
formation enthalpy at 0 K: 0.31 eV per atom

=====

Entry 5:
Compound: FeS
Source: Alexandria
Functional: PBE
Structure: optimized geometry

POSCAR file:
```
FeS
1.0
-1.739 -5.056 -1.811
-1.386 -1.722 6.140
-7.387 2.805 -0.739
Fe S
12 12
Direct
0.275 0.460 0.076
0.775 0.540 0.424
0.725 0.540 0.924
0.225 0.460 0.576
0.708 0.173 0.289
0.208 0.827 0.211
0.292 0.827 0.711
0.792 0.173 0.789
0.300 0.093 0.438
0.800 0.907 0.062
0.700 0.907 0.562
0.200 0.093 0.938
0.927 0.592 0.162
0.427 0.408 0.338
0.073 0.408 0.838
0.573 0.592 0.662
0.415 0.759 0.976
0.915 0.241 0.524
0.585 0.241 0.024
0.085 0.759 0.476
0.566 0.869 0.310
0.066 0.131 0.190
0.434 0.131 0.690
0.934 0.869 0.810
```

Calculated values
size of the total moment: 1.555 Bohr magnetons per cell
mass density: 5.99 g/cm3
ΔE_f (raw): -339 meV per atom

=====

Entry 6:
Compound: Hf2AlOs
Source: Alexandria
Functional: PBE
Structure: optimized geometry

POSCAR file:
```
Hf2AlOs
1.0
7.696 0.000 0.000
0.000 7.696 0.000
3.848 3.848 2.763
Hf Os Al
4 2 2
Direct
0.674 0.125 0.250
0.076 0.625 0.250
0.375 0.326 0.750
0.875 0.924 0.750
0.000 0.000 0.000
0.750 0.250 0.500
0.500 0.500 0.000
0.250 0.750 0.500
```

Calculated values
size of the total moment: 0.000 Bohr magnetons per cell
mass density: 11.65 g/cm3
formation enthalpy at 0 K: 0.17 eV per atom